[1]
Density functional theory data (PBE) for a geometry-optimized VCr3W structure.

DFT total energy: -44.4 eV for the cell shown
Crystal system: cubic
Energy of formation: 1312 meV per atom

Cell lengths 4.1691, 4.1691, 4.1691 Å; angles 90.00, 90.00, 90.00 degrees
Positions (direct):
V 0.0000 0.0000 0.0000
Cr 0.0000 0.0000 0.5000
Cr 0.0000 0.5000 0.0000
Cr 0.5000 0.0000 0.0000
W 0.5000 0.5000 0.5000


[2]
Density functional theory data (PBE) for a geometry-optimized Tm3Ag3Au2 structure.

DFT total energy: -33.0 eV for the cell shown
Crystal system: hexagonal
Energy of formation: -557 meV per atom

Cell lengths 7.5348, 7.5348, 3.6123 Å; angles 90.00, 90.00, 120.00 degrees
Positions (direct):
Tm 0.0000 0.3991 0.0000
Tm 0.3991 0.0000 0.0000
Tm 0.6009 0.6009 0.0000
Ag 0.0000 0.7743 0.5000
Ag 0.2257 0.2257 0.5000
Ag 0.7743 0.0000 0.5000
Au 0.3333 0.6667 0.5000
Au 0.6667 0.3333 0.5000


[3]
Density functional theory data (PBE) for a geometry-optimized Hg2HPtPb structure.

DFT total energy: -13.3 eV for the cell shown
Crystal system: tetragonal

Cell lengths 5.4493, 5.4493, 3.5275 Å; angles 90.00, 90.00, 90.00 degrees
Positions (direct):
Hg 0.0000 0.5000 0.0000
Hg 0.5000 0.0000 0.0000
H 0.0000 0.0000 0.5000
Pt 0.0000 0.0000 0.0000
Pb 0.5000 0.5000 0.5000


[4]
Density functional theory data (PBE) for a geometry-optimized Tc2SbCl structure.

DFT total energy: -25.0 eV for the cell shown
Crystal system: monoclinic
Uncorrected formation energy: 419 meV/atom

Cell lengths 5.3824, 5.3824, 4.5443 Å; angles 96.96, 96.96, 33.28 degrees
Positions (direct):
Tc 0.0000 0.0000 0.0000
Tc 0.7258 0.7258 0.1929
Sb 0.2844 0.2844 0.7410
Cl 0.5261 0.5261 0.3880


[5]
Density functional theory data (PBE) for a geometry-optimized KHoMnI6 structure.

DFT total energy: -67.8 eV for the cell shown
Crystal system: trigonal
Uncorrected formation energy: -1083 meV/atom

Cell lengths 7.6790, 7.6790, 15.7700 Å; angles 90.00, 90.00, 120.00 degrees
Positions (direct):
K 0.0000 0.0000 0.0000
K 0.0000 0.0000 0.5000
Ho 0.3333 0.6667 0.2500
Ho 0.6667 0.3333 0.7500
Mn 0.3333 0.6667 0.7500
Mn 0.6667 0.3333 0.2500
I 0.0104 0.3732 0.6416
I 0.0104 0.6371 0.8584
I 0.3629 0.3732 0.8584
I 0.3629 0.9896 0.6416
I 0.3732 0.0104 0.1416
I 0.3732 0.3629 0.3584
I 0.6268 0.6371 0.6416
I 0.6268 0.9896 0.8584
I 0.6371 0.0104 0.3584
I 0.6371 0.6268 0.1416
I 0.9896 0.3629 0.1416
I 0.9896 0.6268 0.3584


[6]
Density functional theory data (PBE) for a geometry-optimized AcTb4Ho5 structure.

DFT total energy: -43.4 eV for the cell shown
Crystal system: monoclinic
Energy of formation: 216 meV per atom

Cell lengths 8.7948, 8.7948, 11.0711 Å; angles 90.58, 90.58, 23.50 degrees
Positions (direct):
Ac 0.0000 0.0000 0.0000
Tb 0.1520 0.1520 0.2500
Tb 0.4724 0.4724 0.2580
Tb 0.5276 0.5276 0.7420
Tb 0.8480 0.8480 0.7500
Ho 0.0000 0.0000 0.5000
Ho 0.3230 0.3230 0.0581
Ho 0.3266 0.3266 0.4524
Ho 0.6734 0.6734 0.5476
Ho 0.6770 0.6770 0.9419


[7]
Density functional theory data (PBE) for a geometry-optimized Nd3TmRh8 structure.

DFT total energy: -85.8 eV for the cell shown
Crystal system: trigonal
Energy of formation: -681 meV per atom

Cell lengths 9.3419, 9.3419, 9.3419 Å; angles 33.53, 33.53, 33.53 degrees
Positions (direct):
Nd 0.0000 0.0000 0.0000
Nd 0.1255 0.1255 0.1255
Nd 0.5012 0.5012 0.5012
Tm 0.6262 0.6262 0.6262
Rh 0.0609 0.5626 0.5626
Rh 0.0640 0.0640 0.5648
Rh 0.0640 0.5648 0.0640
Rh 0.3129 0.3129 0.3129
Rh 0.5626 0.0609 0.5626
Rh 0.5626 0.5626 0.0609
Rh 0.5648 0.0640 0.0640
Rh 0.8132 0.8132 0.8132


[8]
Density functional theory data (PBE) for a geometry-optimized Mg6NiSn structure.

DFT total energy: -19.5 eV for the cell shown
Crystal system: orthorhombic
Energy of formation: -20 meV per atom

Cell lengths 4.9003, 6.1626, 6.1626 Å; angles 60.80, 90.00, 90.00 degrees
Positions (direct):
Mg 0.0000 0.0000 0.0000
Mg 0.0000 0.5044 0.9788
Mg 0.0000 0.9788 0.5044
Mg 0.5000 0.1574 0.6697
Mg 0.5000 0.1660 0.1660
Mg 0.5000 0.6697 0.1574
Ni 0.5000 0.6760 0.6760
Sn 0.0000 0.5008 0.5008


[9]
Density functional theory data (PBE) for a geometry-optimized GeAsPd3 structure.

DFT total energy: -24.2 eV for the cell shown
Crystal system: cubic
Energy of formation: 127 meV per atom

Cell lengths 4.6639, 4.6639, 4.6639 Å; angles 90.00, 90.00, 90.00 degrees
Positions (direct):
Ge 0.0000 0.0000 0.0000
As 0.5000 0.5000 0.5000
Pd 0.0000 0.5000 0.5000
Pd 0.5000 0.0000 0.5000
Pd 0.5000 0.5000 0.0000


[10]
Density functional theory data (PBE) for a geometry-optimized PmSnTe3Au structure.

DFT total energy: -50.9 eV for the cell shown
Crystal system: monoclinic
Uncorrected formation energy: -663 meV/atom

Cell lengths 8.8870, 4.3252, 10.1160 Å; angles 90.00, 104.15, 90.00 degrees
Positions (direct):
Pm 0.1835 0.2500 0.1804
Pm 0.8165 0.7500 0.8196
Sn 0.2980 0.7500 0.7427
Sn 0.7020 0.2500 0.2573
Te 0.0828 0.2500 0.8514
Te 0.2400 0.2500 0.4970
Te 0.4246 0.7500 0.1360
Te 0.5754 0.2500 0.8640
Te 0.7600 0.7500 0.5030
Te 0.9172 0.7500 0.1486
Au 0.4113 0.7500 0.4072
Au 0.5887 0.2500 0.5928


[11]
Density functional theory data (PBE) for a geometry-optimized Hg2TeI structure.

DFT total energy: -11.2 eV for the cell shown
Crystal system: tetragonal
Uncorrected formation energy: -82 meV/atom

Cell lengths 8.7884, 8.7884, 8.7884 Å; angles 134.15, 134.15, 66.85 degrees
Positions (direct):
Hg 0.0836 0.6250 0.9586
Hg 0.3750 0.3336 0.4586
Hg 0.6664 0.1250 0.0414
Hg 0.8750 0.9164 0.5414
Te 0.0000 0.0000 0.0000
Te 0.7500 0.2500 0.5000
I 0.2500 0.7500 0.5000
I 0.5000 0.5000 0.0000


[12]
Density functional theory data (PBE) for a geometry-optimized KBaSb2 structure.

DFT total energy: -13.1 eV for the cell shown
Crystal system: cubic
Uncorrected formation energy: -454 meV/atom

Cell lengths 5.9317, 5.9317, 5.9317 Å; angles 60.00, 60.00, 60.00 degrees
Positions (direct):
K 0.0000 0.0000 0.0000
Ba 0.5000 0.5000 0.5000
Sb 0.2500 0.2500 0.2500
Sb 0.7500 0.7500 0.7500